Entry 1:
Density functional theory data (PBE) for a relaxed MnCuCl2 crystal.

Structure (POSCAR):
```
MnCuCl2
1.0
10.5356 0.0000 0.0000
0.0000 3.2798 0.0000
-0.8919 0.0000 5.3326
Mn Cu Cl
2 2 4
Cartesian
0.0000 0.0000 0.0000 Mn
5.2678 1.6399 0.0000 Mn
0.7289 1.6399 4.1233 Cu
5.9967 0.0000 4.1233 Cu
0.5318 1.6399 1.7663 Cl
2.6072 0.0000 4.5007 Cl
5.7996 0.0000 1.7663 Cl
7.8750 1.6399 4.5007 Cl
```

Output
SG ... No. 8
E ... -4.566 eV/atom
Raw formation energy ... -0.33 eV/atom
Fermi-level density of states ... 2.37 states/eV per cell

=====

Entry 2:
Density functional theory data (PBE) for a relaxed NaMoPd2 crystal.

Structure (POSCAR):
```
NaMoPd2
1.0
2.8499 0.0000 0.0000
-1.4250 2.4681 0.0000
0.0000 0.0000 28.4594
Na Mo Pd
3 3 6
Cartesian
0.0000 0.0000 0.0000 Na
0.0000 1.6454 18.9730 Na
1.4250 0.8227 9.4865 Na
0.0000 0.0000 14.2297 Mo
0.0000 1.6454 4.7432 Mo
1.4250 0.8227 23.7162 Mo
0.0000 0.0000 6.9525 Pd
0.0000 0.0000 21.5069 Pd
0.0000 1.6454 12.0205 Pd
0.0000 1.6454 25.9254 Pd
1.4250 0.8227 2.5340 Pd
1.4250 0.8227 16.4390 Pd
```

Output
SG ... No. 166
Energy of formation ... 0.0685 eV per atom
E ... -5.565 eV/atom
Fermi-level density of states ... 10.53 states/eV per cell

=====

Entry 3:
Density functional theory data (PBE) for a relaxed RbEuHgSb crystal.

Structure (POSCAR):
```
RbEuHgSb
1.0
8.1976 0.0000 0.0000
0.0000 8.1976 0.0000
0.0000 0.0000 8.1976
Rb Eu Hg Sb
4 4 4 4
Cartesian
0.0000 0.0000 0.0000 Rb
0.0000 4.0988 4.0988 Rb
4.0988 0.0000 4.0988 Rb
4.0988 4.0988 0.0000 Rb
0.0000 0.0000 4.0988 Eu
0.0000 4.0988 0.0000 Eu
4.0988 0.0000 0.0000 Eu
4.0988 4.0988 4.0988 Eu
2.0494 2.0494 6.1482 Hg
2.0494 6.1482 2.0494 Hg
6.1482 2.0494 2.0494 Hg
6.1482 6.1482 6.1482 Hg
2.0494 2.0494 2.0494 Sb
2.0494 6.1482 6.1482 Sb
6.1482 2.0494 6.1482 Sb
6.1482 6.1482 2.0494 Sb
```

Output
SG ... No. 216
E ... -4.451 eV/atom
Raw formation energy ... -0.53 eV/atom

=====

Entry 4:
Density functional theory data (PBE) for a relaxed Pr2Er7Tm3 crystal.

Structure (POSCAR):
```
Pr2Er7Tm3
1.0
6.2940 0.0000 0.0000
0.0000 3.4939 0.0000
-1.8833 0.0000 17.2170
Pr Er Tm
2 7 3
Cartesian
0.0579 0.0000 2.9937 Pr
4.3528 0.0000 14.2233 Pr
-0.9416 1.7469 8.6085 Er
0.1829 0.0000 11.4718 Er
-0.2650 0.0000 17.1965 Er
1.1043 1.7469 5.8252 Er
3.3065 1.7469 11.3918 Er
4.6757 0.0000 0.0205 Er
4.2278 0.0000 5.7452 Er
1.2495 1.7469 14.5160 Tm
2.2054 0.0000 8.6085 Tm
3.1612 1.7469 2.7010 Tm
```

Output
SG ... No. 10
Energy of formation ... 0.0832 eV per atom
E ... -4.493 eV/atom
Fermi-level density of states ... 17.48 states/eV per cell

=====

Entry 5:
Density functional theory data (PBE) for a relaxed Ce4Pu2Tl3 crystal.

Structure (POSCAR):
```
Ce4Pu2Tl3
1.0
8.4134 -1.8738 0.0000
8.4134 1.8738 0.0000
-2.9628 0.0000 7.7157
Ce Pu Tl
4 2 3
Cartesian
0.2706 0.0000 2.7973 Ce
2.3896 0.0000 6.3617 Ce
11.4743 0.0000 1.3539 Ce
13.5933 0.0000 4.9184 Ce
2.6979 0.0000 3.1606 Pu
11.1660 0.0000 4.5551 Pu
5.8295 0.0000 2.1042 Tl
8.4134 0.0000 0.0000 Tl
8.0345 0.0000 5.6114 Tl
```

Output
SG ... No. 12
Energy of formation ... -0.1390 eV per atom
E ... -6.750 eV/atom
Fermi-level density of states ... 15.60 states/eV per cell

=====

Entry 6:
Density functional theory data (PBE) for a relaxed Sm2YCd crystal.

Structure (POSCAR):
```
Sm2YCd
1.0
0.0000 3.6665 9.0221
3.6613 0.0000 9.0221
3.6613 3.6665 0.0000
Sm Y Cd
4 2 2
Cartesian
1.8306 1.8332 0.0000 Sm
3.6613 3.6665 2.4391 Sm
1.8306 1.8332 9.0221 Sm
3.6613 3.6665 15.6052 Sm
3.6613 3.6665 6.4811 Y
3.6613 3.6665 11.5632 Y
1.8306 1.8332 4.5111 Cd
5.4919 5.4997 13.5332 Cd
```

Output
SG ... No. 69
Energy of formation ... -0.1553 eV per atom
E ... -4.360 eV/atom
Fermi-level density of states ... 8.66 states/eV per cell

=====

Entry 7:
Density functional theory data (PBE) for a relaxed CaSn2F6 crystal.

Structure (POSCAR):
```
CaSn2F6
1.0
4.8855 -5.7623 0.0000
4.8855 5.7623 0.0000
-1.2913 0.0000 5.3296
Ca Sn F
2 4 12
Cartesian
3.9170 4.3653 3.9972 Ca
4.5627 -4.3653 1.3324 Ca
2.0288 1.3088 4.7490 Sn
2.6744 -1.3088 2.0842 Sn
5.8053 1.3088 3.2455 Sn
6.4509 -1.3088 0.5807 Sn
3.5357 3.4968 0.0345 F
0.5732 0.4861 3.2722 F
1.2189 -0.4861 0.6073 F
2.9301 2.2407 3.0800 F
5.5897 3.4968 2.6303 F
4.9039 2.2407 4.9144 F
3.5758 -2.2407 0.4152 F
2.8900 -3.4968 2.6993 F
5.5496 -2.2407 2.2496 F
7.2608 0.4861 4.7223 F
7.9065 -0.4861 2.0575 F
4.9440 -3.4968 5.2951 F
```

Output
SG ... No. 15
E ... -5.148 eV/atom
Raw formation energy ... -2.79 eV/atom
Fermi-level density of states ... 0.00 states/eV per cell

=====

Entry 8:
Density functional theory data (PBE) for a relaxed AcU4S8 crystal.

Structure (POSCAR):
```
AcU4S8
1.0
0.0000 5.7948 5.7948
5.7948 0.0000 5.7948
5.7948 5.7948 0.0000
Ac U S
1 4 8
Cartesian
0.0000 0.0000 0.0000 Ac
7.1927 4.3969 4.3969 U
4.3969 7.1927 4.3969 U
4.3969 4.3969 7.1927 U
7.1927 7.1927 7.1927 U
4.4916 4.4916 4.4916 S
7.0980 7.0980 4.4916 S
7.0980 4.4916 7.0980 S
9.9588 7.4256 7.4256 S
4.4916 7.0980 7.0980 S
7.4256 9.9588 7.4256 S
7.4256 7.4256 9.9588 S
9.9588 9.9588 9.9588 S
```

Output
SG ... No. 216
E ... -7.763 eV/atom
Raw formation energy ... -1.43 eV/atom
Fermi-level density of states ... 14.44 states/eV per cell

=====

Which value of E does entry 2 give? -5.565 eV/atom